1.
## CaSiGe (PBE-GGA)

Data for crystalline CaSiGe at its relaxed geometry.

Summary:
The offset from the most stable computed form comes out at 5.6 kJ/mol of formula units. The value obtained for the theoretical density is 3.46 g/cm³. The uncorrected formation energy is -0.408 eV/atom.

Cell lengths 4.9284, 4.0114, 6.8269 Å; angles 90.00, 90.48, 90.00 degrees
Space group P2_1/m (No. 11)
Unique sites:
1 Ca 0.0132 0.2500 0.2582 (multiplicity 2)
2 Si 0.4153 0.7500 0.4218 (multiplicity 2)
3 Ge 0.3942 0.2500 0.9128 (multiplicity 2)

---

2.
## CaSiTc2Ge2 (PBE-GGA)

Data for crystalline CaSiTc2Ge2 at its relaxed geometry.

Summary:
The value obtained for the theoretical density is 5.98 g/cm³. The uncorrected formation energy is -0.183 eV/atom.

Cell lengths 4.5095, 4.5095, 5.5880 Å; angles 90.00, 90.00, 90.00 degrees
Space group P4/mmm (No. 123)
Unique sites:
1 Ca 0.0000 0.0000 0.0000 (multiplicity 1)
2 Si 0.0000 0.0000 0.5000 (multiplicity 1)
3 Tc 0.0000 0.5000 0.5000 (multiplicity 2)
4 Ge 0.5000 0.5000 0.2349 (multiplicity 2)

---

3.
## Ca2TiSiGe (PBE-GGA)

Data for crystalline Ca2TiSiGe at its relaxed geometry.

Summary:
The offset from the most stable computed form comes out at 47.4 kJ/mol of formula units. The value obtained for the theoretical density is 2.50 g/cm³. The uncorrected formation energy is 0.739 eV/atom.

Cell lengths 5.5815, 5.5815, 4.8815 Å; angles 90.00, 90.00, 90.00 degrees
Space group P4/mmm (No. 123)
Unique sites:
1 Ca 0.0000 0.5000 0.0000 (multiplicity 2)
2 Ti 0.0000 0.0000 0.0000 (multiplicity 1)
3 Si 0.5000 0.5000 0.5000 (multiplicity 1)
4 Ge 0.0000 0.0000 0.5000 (multiplicity 1)